(1)
PBE Y4TlN2, relaxed; formation energy without anion corrections = -5.9 kcal/mol of atoms; M_tot = 0.00 μB/atom; SG = I4/mmm (139); Fermi-level density of states = 6.3 states/eV per cell
1.0
-1.504 5.414 0.243
-2.710 -0.533 -4.900
-6.992 0.955 0.535
N Tl Y
2 1 4
direct
0.444 0.444 0.112
0.556 0.556 0.888
0.000 0.000 0.000
0.000 0.500 0.000
0.264 0.264 0.473
0.500 0.000 0.000
0.736 0.736 0.527

---

(2)
PBE Ti4ZnPt2, relaxed; M_tot = 0.00 μB/atom; SG = R-3m (166); E_form = -300.0 meV per atom; Fermi-level density of states = 8.1 states/eV per cell
1.0
4.185 0.000 0.000
2.092 3.624 0.000
2.092 1.208 8.571
Ti Zn Pt
4 1 2
direct
0.618 0.618 0.145
0.202 0.202 0.393
0.798 0.798 0.607
0.382 0.382 0.855
0.000 0.000 0.000
0.900 0.900 0.299
0.100 0.100 0.701

---

(3)
PBE LaDy4Sc, relaxed; M_tot = 0.00 μB/atom; SG = Pmmm (47); E_form = 203.6 meV per atom; Fermi-level density of states = 12.5 states/eV per cell
1.0
3.398 0.317 0.000
-0.529 5.673 0.001
-0.001 -0.002 9.939
Dy La Sc
4 1 1
direct
0.997 0.501 0.300
0.497 0.001 0.825
0.997 0.501 0.704
0.497 0.001 0.179
0.997 0.001 0.502
0.497 0.501 0.002

---

(4)
PBE Pm3PrRh8, relaxed; M_tot = 0.00 μB/atom; SG = R3m (160); E_form = -669.6 meV per atom; Fermi-level density of states = 6.6 states/eV per cell
1.0
5.177 0.000 1.563
2.353 4.612 1.563
-0.005 -0.003 9.373
Rh Pm Pr
8 3 1
direct
0.438 0.938 0.186
0.938 0.438 0.186
0.437 0.937 0.689
0.937 0.937 0.689
0.438 0.438 0.186
0.187 0.187 0.438
0.688 0.688 0.937
0.937 0.437 0.689
0.375 0.375 0.876
0.500 0.500 0.500
0.000 0.000 0.999
0.875 0.875 0.375

---

Which value of Fermi-level density of states does entry 1 give? 6.3 states/eV per cell

---

What did the second record say?
PBE Ti4ZnPt2, relaxed; M_tot = 0.00 μB/atom; SG = R-3m (166); E_form = -300.0 meV per atom; Fermi-level density of states = 8.1 states/eV per cell
1.0
4.185 0.000 0.000
2.092 3.624 0.000
2.092 1.208 8.571
Ti Zn Pt
4 1 2
direct
0.618 0.618 0.145
0.202 0.202 0.393
0.798 0.798 0.607
0.382 0.382 0.855
0.000 0.000 0.000
0.900 0.900 0.299
0.100 0.100 0.701